# Y3Tm6Sc2

A relaxed structure of Y3Tm6Sc2 (GGA-PBE, Alexandria).

Summary:
Symmetry: No. 166
Energy of formation from the pure elements in eV per formula unit: 0.5
Crystal system: trigonal
Electronic total energy in eV per atom: -5.31
Magnetization in μB/cell: 0.00

abc: 3.479 3.479 31.078
angles: 86.79 86.79 60.00
Sites, in units of the cell vectors:
1 Tm 0.182 0.182 0.454
2 Tm 0.636 0.636 0.093
3 Tm 0.906 0.906 0.281
4 Tm 0.094 0.094 0.719
5 Tm 0.364 0.364 0.907
6 Tm 0.818 0.818 0.546
7 Sc 0.456 0.456 0.633
8 Sc 0.544 0.544 0.367
9 Y 0.729 0.729 0.813
10 Y 0.000 0.000 0.000
11 Y 0.271 0.271 0.187

***

# Y4Tm8Sc

A relaxed structure of Y4Tm8Sc (GGA-PBE, Alexandria).

Summary:
Symmetry: No. 12
Energy of formation from the pure elements in eV per formula unit: 2.5
Crystal system: monoclinic
Electronic total energy in eV per atom: -5.03
Magnetization in μB/cell: 0.00

abc: 7.419 7.423 9.444
angles: 90.00 113.08 120.02
Sites, in units of the cell vectors:
1 Y 0.500 0.500 0.000
2 Y 0.500 0.000 0.000
3 Y 0.000 0.500 0.000
4 Y 0.000 0.000 0.000
5 Sc 0.000 0.500 0.500
6 Tm 0.075 0.254 0.330
7 Tm 0.444 0.222 0.666
8 Tm 0.509 0.255 0.329
9 Tm 0.491 0.745 0.671
10 Tm 0.556 0.778 0.334
11 Tm 0.925 0.180 0.670
12 Tm 0.925 0.746 0.670
13 Tm 0.075 0.820 0.330

***

# Y5Tm4Sc2

A relaxed structure of Y5Tm4Sc2 (GGA-PBE, Alexandria).

Summary:
Symmetry: No. 71
Energy of formation from the pure elements in eV per formula unit: 2.6
Crystal system: orthorhombic
Electronic total energy in eV per atom: -5.47
Magnetization in μB/cell: 0.00

abc: 3.443 8.987 12.179
angles: 111.65 98.13 90.00
Sites, in units of the cell vectors:
1 Tm 0.000 0.689 0.000
2 Tm 0.598 0.598 0.196
3 Tm 0.402 0.402 0.804
4 Tm 0.000 0.311 0.000
5 Y 0.150 0.948 0.301
6 Y 0.850 0.052 0.699
7 Y 0.150 0.352 0.301
8 Y 0.850 0.648 0.699
9 Y 0.500 0.000 0.000
10 Sc 0.271 0.271 0.541
11 Sc 0.729 0.729 0.459

***

# YTm12Sc3

A relaxed structure of YTm12Sc3 (GGA-PBE, Alexandria).

Summary:
Symmetry: No. 123
Energy of formation from the pure elements in eV per formula unit: 0.7
Crystal system: tetragonal
Electronic total energy in eV per atom: -4.90
Magnetization in μB/cell: 0.00

abc: 4.881 4.881 19.513
angles: 90.00 90.00 90.00
Sites, in units of the cell vectors:
1 Tm 0.500 0.000 0.624
2 Tm 0.500 0.000 0.376
3 Tm 0.000 0.500 0.129
4 Tm 0.000 0.500 0.871
5 Tm 0.500 0.500 0.500
6 Tm 0.000 0.500 0.376
7 Tm 0.500 0.500 0.747
8 Tm 0.500 0.000 0.129
9 Tm 0.500 0.000 0.871
10 Tm 0.000 0.500 0.624
11 Tm 0.500 0.500 0.253
12 Tm 0.500 0.500 0.000
13 Sc 0.000 0.000 0.748
14 Sc 0.000 0.000 0.500
15 Sc 0.000 0.000 0.252
16 Y 0.000 0.000 0.000

***

# Y9TmSc2

A relaxed structure of Y9TmSc2 (GGA-PBE, Alexandria).

Summary:
Symmetry: No. 123
Energy of formation from the pure elements in eV per formula unit: 0.5
Crystal system: tetragonal
Electronic total energy in eV per atom: -6.23
Magnetization in μB/cell: 0.00

abc: 4.976 4.976 14.894
angles: 90.00 90.00 90.00
Sites, in units of the cell vectors:
1 Y 0.000 0.500 0.500
2 Y 0.500 0.000 0.830
3 Y 0.500 0.000 0.170
4 Y 0.500 0.500 0.665
5 Y 0.000 0.500 0.170
6 Y 0.500 0.000 0.500
7 Y 0.500 0.500 0.335
8 Y 0.000 0.500 0.830
9 Y 0.500 0.500 0.000
10 Sc 0.000 0.000 0.665
11 Sc 0.000 0.000 0.335
12 Tm 0.000 0.000 0.000

***

# Y2Tm3Sc2

A relaxed structure of Y2Tm3Sc2 (GGA-PBE, Alexandria).

Summary:
Symmetry: No. 199
Energy of formation from the pure elements in eV per formula unit: 1.6
Crystal system: cubic
Electronic total energy in eV per atom: -5.34
Magnetization in μB/cell: 0.00

abc: 8.163 8.163 8.163
angles: 109.47 109.47 109.47
Sites, in units of the cell vectors:
1 Tm 0.685 0.750 0.935
2 Tm 0.435 0.185 0.750
3 Tm 0.250 0.935 0.185
4 Tm 0.065 0.315 0.250
5 Tm 0.815 0.250 0.565
6 Tm 0.750 0.565 0.315
7 Sc 0.898 0.500 0.000
8 Sc 0.000 0.000 0.398
9 Sc 0.602 0.102 0.102
10 Sc 0.500 0.398 0.500
11 Y 0.500 0.804 0.500
12 Y 0.000 0.000 0.804
13 Y 0.196 0.696 0.696
14 Y 0.304 0.500 0.000

***

# YTm8Sc2

A relaxed structure of YTm8Sc2 (GGA-PBE, Alexandria).

Summary:
Symmetry: No. 12
Energy of formation from the pure elements in eV per formula unit: 1.9
Crystal system: monoclinic
Electronic total energy in eV per atom: -4.82
Magnetization in μB/cell: 0.00

abc: 5.768 8.924 9.316
angles: 61.38 72.75 51.74
Sites, in units of the cell vectors:
1 Tm 0.500 0.796 0.407
2 Tm 0.212 0.644 0.260
3 Tm 0.788 0.356 0.740
4 Tm 0.788 0.096 0.260
5 Tm 0.212 0.904 0.740
6 Tm 0.269 0.469 0.000
7 Tm 0.731 0.531 0.000
8 Tm 0.500 0.204 0.593
9 Sc 0.000 0.688 0.624
10 Sc 0.000 0.312 0.376
11 Y 0.500 0.000 0.000

***

# Y12TmSc5

A relaxed structure of Y12TmSc5 (GGA-PBE, Alexandria).

Summary:
Symmetry: No. 12
Energy of formation from the pure elements in eV per formula unit: 0.8
Crystal system: monoclinic
Electronic total energy in eV per atom: -6.27
Magnetization in μB/cell: 0.00

abc: 6.074 6.074 16.968
angles: 93.41 96.83 60.00
Sites, in units of the cell vectors:
1 Y 0.113 0.333 0.339
2 Y 0.887 0.667 0.661
3 Y 0.390 0.000 0.165
4 Y 0.055 0.665 0.165
5 Y 0.220 0.000 0.661
6 Y 0.447 0.667 0.339
7 Y 0.780 0.000 0.339
8 Y 0.720 0.335 0.165
9 Y 0.553 0.333 0.661
10 Y 0.610 0.000 0.835
11 Y 0.945 0.335 0.835
12 Y 0.281 0.665 0.835
13 Sc 0.500 0.000 0.500
14 Sc 0.833 0.333 0.500
15 Sc 0.167 0.667 0.500
16 Sc 0.333 0.333 0.000
17 Sc 0.667 0.667 0.000
18 Tm 0.000 0.000 0.000

***

# YTm4Sc5

A relaxed structure of YTm4Sc5 (GGA-PBE, Alexandria).

Summary:
Symmetry: No. 79
Energy of formation from the pure elements in eV per formula unit: 3.1
Crystal system: tetragonal
Electronic total energy in eV per atom: -5.29
Magnetization in μB/cell: 0.00

abc: 6.031 7.473 7.473
angles: 80.63 66.20 66.20
Sites, in units of the cell vectors:
1 Tm 0.503 0.605 0.294
2 Tm 0.107 0.294 0.395
3 Tm 0.401 0.395 0.706
4 Tm 0.797 0.706 0.605
5 Sc 0.714 0.088 0.373
6 Sc 0.087 0.627 0.088
7 Sc 0.802 0.373 0.912
8 Sc 0.175 0.912 0.627
9 Sc 0.692 0.000 0.000
10 Y 0.231 0.000 0.000

***

# Y4Tm5Sc2

A relaxed structure of Y4Tm5Sc2 (GGA-PBE, Alexandria).

Summary:
Symmetry: No. 71
Energy of formation from the pure elements in eV per formula unit: 3.0
Crystal system: orthorhombic
Electronic total energy in eV per atom: -5.26
Magnetization in μB/cell: 0.00

abc: 3.423 11.219 10.772
angles: 121.38 99.14 90.00
Sites, in units of the cell vectors:
1 Y 0.000 0.269 0.000
2 Y 0.593 0.593 0.187
3 Y 0.407 0.407 0.813
4 Y 0.000 0.731 0.000
5 Tm 0.820 0.530 0.639
6 Tm 0.500 0.000 0.000
7 Tm 0.180 0.470 0.361
8 Tm 0.180 0.891 0.361
9 Tm 0.820 0.109 0.639
10 Sc 0.788 0.788 0.577
11 Sc 0.212 0.212 0.423

***

# Y3TmSc7

A relaxed structure of Y3TmSc7 (GGA-PBE, Alexandria).

Summary:
Symmetry: No. 12
Energy of formation from the pure elements in eV per formula unit: 3.4
Crystal system: monoclinic
Electronic total energy in eV per atom: -5.89
Magnetization in μB/cell: 0.52

abc: 5.447 7.986 7.986
angles: 81.57 110.01 110.01
Sites, in units of the cell vectors:
1 Sc 0.714 0.021 0.407
2 Sc 0.714 0.407 0.021
3 Sc 0.286 0.593 0.979
4 Sc 0.286 0.979 0.593
5 Sc 0.211 0.210 0.210
6 Sc 0.000 0.500 0.500
7 Sc 0.789 0.790 0.790
8 Y 0.500 0.000 0.000
9 Y 0.000 0.212 0.788
10 Y 0.000 0.788 0.212
11 Tm 0.500 0.500 0.500

***

# Y5Tm12Sc2

A relaxed structure of Y5Tm12Sc2 (GGA-PBE, Alexandria).

Summary:
Symmetry: No. 12
Energy of formation from the pure elements in eV per formula unit: 3.2
Crystal system: monoclinic
Electronic total energy in eV per atom: -5.02
Magnetization in μB/cell: 0.00

abc: 7.333 10.069 9.570
angles: 64.52 90.00 111.36
Sites, in units of the cell vectors:
1 Y 0.684 0.367 0.808
2 Y 0.000 0.000 0.500
3 Y 0.183 0.366 0.816
4 Y 0.316 0.633 0.192
5 Y 0.817 0.634 0.184
6 Tm 0.088 0.683 0.848
7 Tm 0.502 0.005 0.682
8 Tm 0.597 0.680 0.486
9 Tm 0.083 0.680 0.486
10 Tm 0.997 0.994 0.197
11 Tm 0.498 0.995 0.318
12 Tm 0.595 0.683 0.848
13 Tm 0.405 0.317 0.152
14 Tm 0.917 0.320 0.514
15 Tm 0.912 0.317 0.152
16 Tm 0.003 0.006 0.803
17 Tm 0.403 0.320 0.514
18 Sc 0.691 0.000 0.000
19 Sc 0.309 0.000 0.000

***

# Y6Tm19Sc4

A relaxed structure of Y6Tm19Sc4 (GGA-PBE, Alexandria).

Summary:
Symmetry: No. 197
Energy of formation from the pure elements in eV per formula unit: 11.2
Crystal system: cubic
Electronic total energy in eV per atom: -4.75
Magnetization in μB/cell: 0.00

abc: 10.558 10.559 10.558
angles: 109.47 109.47 109.47
Sites, in units of the cell vectors:
1 Tm 0.342 0.019 0.810
2 Tm 0.000 0.742 0.742
3 Tm 0.981 0.323 0.791
4 Tm 0.742 0.742 0.000
5 Tm 0.810 0.342 0.019
6 Tm 0.190 0.209 0.532
7 Tm 0.791 0.981 0.323
8 Tm 0.258 0.258 0.000
9 Tm 0.658 0.468 0.677
10 Tm 0.677 0.658 0.468
11 Tm 0.323 0.791 0.981
12 Tm 0.468 0.677 0.658
13 Tm 0.258 0.000 0.258
14 Tm 0.000 0.000 0.000
15 Tm 0.000 0.258 0.258
16 Tm 0.532 0.190 0.209
17 Tm 0.209 0.532 0.190
18 Tm 0.742 0.000 0.742
19 Tm 0.019 0.810 0.342
20 Sc 0.645 0.000 0.000
21 Sc 0.000 0.645 0.000
22 Sc 0.000 0.000 0.645
23 Sc 0.355 0.355 0.355
24 Y 0.868 0.368 0.500
25 Y 0.500 0.868 0.368
26 Y 0.132 0.632 0.500
27 Y 0.632 0.500 0.132
28 Y 0.368 0.500 0.868
29 Y 0.500 0.132 0.632

***

# Y2Tm3Sc8

A relaxed structure of Y2Tm3Sc8 (GGA-PBE, Alexandria).

Summary:
Symmetry: No. 12
Energy of formation from the pure elements in eV per formula unit: 3.7
Crystal system: monoclinic
Electronic total energy in eV per atom: -5.64
Magnetization in μB/cell: 0.00

abc: 5.177 7.151 10.591
angles: 109.73 90.02 90.00
Sites, in units of the cell vectors:
1 Tm 0.000 0.285 0.000
2 Tm 0.000 0.715 0.000
3 Tm 0.500 0.000 0.000
4 Sc 0.500 0.399 0.217
5 Sc 0.500 0.601 0.783
6 Sc 0.000 0.128 0.256
7 Sc 0.000 0.872 0.744
8 Sc 0.500 0.818 0.217
9 Sc 0.001 0.660 0.321
10 Sc 0.999 0.340 0.679
11 Sc 0.500 0.182 0.783
12 Y 0.499 0.240 0.479
13 Y 0.501 0.760 0.521

***

# Y4Tm15Sc

A relaxed structure of Y4Tm15Sc (GGA-PBE, Alexandria).

Summary:
Symmetry: No. 123
Energy of formation from the pure elements in eV per formula unit: 0.7
Crystal system: tetragonal
Electronic total energy in eV per atom: -4.93
Magnetization in μB/cell: 0.00

abc: 4.940 4.940 24.698
angles: 90.00 90.00 90.00
Sites, in units of the cell vectors:
1 Y 0.000 0.000 0.802
2 Y 0.000 0.000 0.601
3 Y 0.000 0.000 0.399
4 Y 0.000 0.000 0.198
5 Tm 0.500 0.500 0.399
6 Tm 0.500 0.500 0.000
7 Tm 0.000 0.500 0.096
8 Tm 0.500 0.000 0.096
9 Tm 0.500 0.500 0.803
10 Tm 0.000 0.500 0.500
11 Tm 0.500 0.500 0.197
12 Tm 0.000 0.500 0.904
13 Tm 0.500 0.000 0.500
14 Tm 0.500 0.500 0.601
15 Tm 0.500 0.000 0.702
16 Tm 0.500 0.000 0.298
17 Tm 0.000 0.500 0.298
18 Tm 0.000 0.500 0.702
19 Tm 0.500 0.000 0.904
20 Sc 0.000 0.000 0.000

***

# Y6TmSc3

A relaxed structure of Y6TmSc3 (GGA-PBE, Alexandria).

Summary:
Symmetry: No. 36
Energy of formation from the pure elements in eV per formula unit: 1.7
Crystal system: orthorhombic
Electronic total energy in eV per atom: -6.06
Magnetization in μB/cell: 0.00

abc: 6.188 10.650 10.650
angles: 121.18 90.00 90.00
Sites, in units of the cell vectors:
1 Y 0.369 0.953 0.047
2 Y 0.040 0.371 0.296
3 Y 0.356 0.042 0.448
4 Y 0.040 0.704 0.629
5 Y 0.672 0.298 0.702
6 Y 0.540 0.296 0.371
7 Y 0.869 0.047 0.953
8 Y 0.356 0.552 0.958
9 Y 0.172 0.702 0.298
10 Y 0.856 0.958 0.552
11 Y 0.540 0.629 0.704
12 Y 0.856 0.448 0.042
13 Sc 0.610 0.614 0.386
14 Sc 0.431 0.928 0.700
15 Sc 0.931 0.072 0.300
16 Sc 0.110 0.386 0.614
17 Sc 0.931 0.700 0.928
18 Sc 0.431 0.300 0.072
19 Tm 0.182 0.209 0.791
20 Tm 0.682 0.791 0.209

***

# YTm3Sc3

A relaxed structure of YTm3Sc3 (GGA-PBE, Alexandria).

Summary:
Symmetry: No. 176
Energy of formation from the pure elements in eV per formula unit: 0.1
Crystal system: hexagonal
Electronic total energy in eV per atom: -5.53
Magnetization in μB/cell: 2.67

abc: 5.404 9.175 9.175
angles: 120.00 90.00 90.00
Sites, in units of the cell vectors:
1 Tm 0.250 0.955 0.197
2 Tm 0.750 0.045 0.803
3 Tm 0.250 0.242 0.045
4 Tm 0.250 0.803 0.758
5 Tm 0.750 0.197 0.242
6 Tm 0.750 0.758 0.955
7 Y 0.750 0.333 0.667
8 Y 0.250 0.667 0.333
9 Sc 0.250 0.521 0.906
10 Sc 0.750 0.906 0.385
11 Sc 0.250 0.385 0.479
12 Sc 0.750 0.615 0.521
13 Sc 0.250 0.094 0.615
14 Sc 0.750 0.479 0.094

***

# Y3Tm7Sc2

A relaxed structure of Y3Tm7Sc2 (GGA-PBE, Alexandria).

Summary:
Symmetry: No. 10
Energy of formation from the pure elements in eV per formula unit: 2.9
Crystal system: monoclinic
Electronic total energy in eV per atom: -5.04
Magnetization in μB/cell: 0.01

abc: 3.572 5.393 19.873
angles: 90.00 95.21 90.00
Sites, in units of the cell vectors:
1 Tm 0.714 0.500 0.429
2 Tm 0.410 0.000 0.824
3 Tm 0.070 0.500 0.137
4 Tm 0.000 0.000 0.000
5 Tm 0.930 0.500 0.863
6 Tm 0.286 0.500 0.571
7 Tm 0.590 0.000 0.176
8 Y 0.828 0.000 0.662
9 Y 0.172 0.000 0.338
10 Y 0.500 0.500 0.000
11 Sc 0.641 0.500 0.275
12 Sc 0.359 0.500 0.725